(1)
Density functional theory data (GGA-PBE) for MgAgN after structural relaxation.

The structure in CIF format:
```
data_MgAgN
_chemical_formula_sum 'Mg4 Ag4 N4'
_cell_length_a 8.1326
_cell_length_b 3.4222
_cell_length_c 6.4547
_cell_angle_alpha 90.00
_cell_angle_beta 92.34
_cell_angle_gamma 90.00
_symmetry_space_group_name_H-M 'P 1 21/c 1'
_symmetry_Int_Tables_number 14
_symmetry_space_group_name_Hall '-P 2ybc'
loop_
_atom_site_label
_atom_site_type_symbol
_atom_site_fract_x
_atom_site_fract_y
_atom_site_fract_z
_atom_site_occupancy
Mg1 Mg 0.1228 0.0564 0.3525 1
Ag1 Ag 0.3966 0.7472 0.6225 1
N1 N 0.1505 0.5472 0.1711 1
```

Computed properties:
- raw total energy (eV/atom) = -4.24
- uncorrected formation energy (eV/atom) = 0.02

=====

(2)
Density functional theory data (GGA-PBE) for MgAgN after structural relaxation.

The structure in CIF format:
```
data_MgAgN
_chemical_formula_sum 'Mg2 Ag2 N2'
_cell_length_a 3.5231
_cell_length_b 3.5231
_cell_length_c 8.2313
_cell_angle_alpha 90.00
_cell_angle_beta 90.00
_cell_angle_gamma 120.00
_symmetry_space_group_name_H-M 'P 63/m m c'
_symmetry_Int_Tables_number 194
_symmetry_space_group_name_Hall '-P 6c 2c'
loop_
_atom_site_label
_atom_site_type_symbol
_atom_site_fract_x
_atom_site_fract_y
_atom_site_fract_z
_atom_site_occupancy
Mg1 Mg 0.3333 0.6667 0.2500 1
Ag1 Ag 0.0000 0.0000 0.0000 1
N1 N 0.3333 0.6667 0.7500 1
```

Computed properties:
- raw total energy (eV/atom) = -4.00
- uncorrected formation energy (eV/atom) = 0.25

=====

(3)
Density functional theory data (GGA-PBE) for MgAgN after structural relaxation.

The structure in CIF format:
```
data_MgAgN
_chemical_formula_sum 'Mg4 Ag4 N4'
_cell_length_a 4.0533
_cell_length_b 4.0638
_cell_length_c 10.3526
_cell_angle_alpha 90.00
_cell_angle_beta 101.16
_cell_angle_gamma 90.00
_symmetry_space_group_name_H-M 'C 1 2/m 1'
_symmetry_Int_Tables_number 12
_symmetry_space_group_name_Hall '-C 2y'
loop_
_atom_site_label
_atom_site_type_symbol
_atom_site_fract_x
_atom_site_fract_y
_atom_site_fract_z
_atom_site_occupancy
Mg1 Mg 0.0834 0.0000 0.1681 1
Ag1 Ag 0.1949 0.5000 0.3896 1
N1 N 0.0304 0.5000 0.0643 1
```

Computed properties:
- raw total energy (eV/atom) = -4.36
- uncorrected formation energy (eV/atom) = -0.10

=====

(4)
Density functional theory data (GGA-PBE) for Mg2AgN after structural relaxation.

The structure in CIF format:
```
data_Mg2AgN
_chemical_formula_sum 'Mg8 Ag4 N4'
_cell_length_a 6.0778
_cell_length_b 6.0778
_cell_length_c 8.2898
_cell_angle_alpha 90.00
_cell_angle_beta 90.00
_cell_angle_gamma 90.00
_symmetry_space_group_name_H-M 'I -4 2 d'
_symmetry_Int_Tables_number 122
_symmetry_space_group_name_Hall 'I -4 2bw'
loop_
_atom_site_label
_atom_site_type_symbol
_atom_site_fract_x
_atom_site_fract_y
_atom_site_fract_z
_atom_site_occupancy
Mg1 Mg 0.1230 0.2500 0.1250 1
Ag1 Ag 0.0000 0.0000 0.5000 1
N1 N 0.0000 0.0000 0.0000 1
```

Computed properties:
- raw total energy (eV/atom) = -3.78
- uncorrected formation energy (eV/atom) = -0.19

=====

(5)
Density functional theory data (GGA-PBE) for MgAgN after structural relaxation.

The structure in CIF format:
```
data_MgAgN
_chemical_formula_sum 'Mg2 Ag2 N2'
_cell_length_a 2.9919
_cell_length_b 3.1079
_cell_length_c 8.8947
_cell_angle_alpha 90.00
_cell_angle_beta 90.00
_cell_angle_gamma 90.00
_symmetry_space_group_name_H-M 'P m m n'
_symmetry_Int_Tables_number 59
loop_
_symmetry_equiv_pos_as_xyz
'x,y,z'
'-x,-y,-z'
'-x+1/2,-y+1/2,z'
'x+1/2,y+1/2,-z'
'x+1/2,-y,-z'
'-x+1/2,y,z'
'-x,y+1/2,-z'
'x,-y+1/2,z'
loop_
_atom_site_label
_atom_site_type_symbol
_atom_site_fract_x
_atom_site_fract_y
_atom_site_fract_z
_atom_site_occupancy
Mg1 Mg 0.2500 0.2500 0.1180 1
Ag1 Ag 0.2500 0.2500 0.6131 1
N1 N 0.2500 0.2500 0.8640 1
```

Computed properties:
- raw total energy (eV/atom) = -4.28
- uncorrected formation energy (eV/atom) = -0.02

=====

(6)
Density functional theory data (GGA-PBE) for MgAgN after structural relaxation.

The structure in CIF format:
```
data_MgAgN
_chemical_formula_sum 'Mg4 Ag4 N4'
_cell_length_a 8.7448
_cell_length_b 6.3558
_cell_length_c 3.0135
_cell_angle_alpha 90.00
_cell_angle_beta 90.00
_cell_angle_gamma 90.00
_symmetry_space_group_name_H-M 'P n m a'
_symmetry_Int_Tables_number 62
_symmetry_space_group_name_Hall '-P 2ac 2n'
loop_
_atom_site_label
_atom_site_type_symbol
_atom_site_fract_x
_atom_site_fract_y
_atom_site_fract_z
_atom_site_occupancy
Mg1 Mg 0.0000 0.0000 0.0000 1
Ag1 Ag 0.2504 0.2500 0.2471 1
N1 N 0.0008 0.2500 0.4858 1
```

Computed properties:
- raw total energy (eV/atom) = -4.21
- uncorrected formation energy (eV/atom) = 0.05

=====

(7)
Density functional theory data (GGA-PBE) for MgAgN after structural relaxation.

The structure in CIF format:
```
data_MgAgN
_chemical_formula_sum 'Mg4 Ag4 N4'
_cell_length_a 5.3622
_cell_length_b 3.0980
_cell_length_c 10.7938
_cell_angle_alpha 90.00
_cell_angle_beta 99.56
_cell_angle_gamma 90.00
_symmetry_space_group_name_H-M 'C 1 m 1'
_symmetry_Int_Tables_number 8
_symmetry_space_group_name_Hall 'C -2y'
loop_
_atom_site_label
_atom_site_type_symbol
_atom_site_fract_x
_atom_site_fract_y
_atom_site_fract_z
_atom_site_occupancy
Mg1 Mg 0.0000 0.0000 0.0000 1
Mg2 Mg 0.1180 0.0000 0.3524 1
Ag1 Ag 0.0229 0.5000 0.5640 1
Ag2 Ag 0.2636 0.0000 0.7884 1
N1 N 0.2057 0.5000 0.1169 1
N2 N 0.2455 0.5000 0.2356 1
```

Computed properties:
- raw total energy (eV/atom) = -4.33
- uncorrected formation energy (eV/atom) = -0.07

=====

(8)
Density functional theory data (GGA-PBE) for MgAg2N after structural relaxation.

The structure in CIF format:
```
data_MgAg2N
_chemical_formula_sum 'Mg4 Ag8 N4'
_cell_length_a 6.2260
_cell_length_b 6.2260
_cell_length_c 6.2260
_cell_angle_alpha 90.00
_cell_angle_beta 90.00
_cell_angle_gamma 90.00
_symmetry_space_group_name_H-M 'F m -3 m'
_symmetry_Int_Tables_number 225
_symmetry_space_group_name_Hall '-F 4 2 3'
loop_
_atom_site_label
_atom_site_type_symbol
_atom_site_fract_x
_atom_site_fract_y
_atom_site_fract_z
_atom_site_occupancy
Mg1 Mg 0.0000 0.0000 0.0000 1
Ag1 Ag 0.2500 0.2500 0.2500 1
N1 N 0.0000 0.0000 0.5000 1
```

Computed properties:
- raw total energy (eV/atom) = -3.12
- uncorrected formation energy (eV/atom) = 0.79

=====

(9)
Density functional theory data (GGA-PBE) for MgAgN after structural relaxation.

The structure in CIF format:
```
data_MgAgN
_chemical_formula_sum 'Mg4 Ag4 N4'
_cell_length_a 15.9174
_cell_length_b 2.9337
_cell_length_c 4.1667
_cell_angle_alpha 90.00
_cell_angle_beta 104.52
_cell_angle_gamma 90.00
_symmetry_space_group_name_H-M 'C 1 m 1'
_symmetry_Int_Tables_number 8
_symmetry_space_group_name_Hall 'C -2y'
loop_
_atom_site_label
_atom_site_type_symbol
_atom_site_fract_x
_atom_site_fract_y
_atom_site_fract_z
_atom_site_occupancy
Mg1 Mg 0.0000 0.0000 0.0000 1
Mg2 Mg 0.1495 0.0000 0.6430 1
Ag1 Ag 0.2501 0.5000 0.2404 1
Ag2 Ag 0.3362 0.0000 0.8238 1
N1 N 0.0474 0.5000 0.7024 1
N2 N 0.0476 0.5000 0.3873 1
```

Computed properties:
- raw total energy (eV/atom) = -4.24
- uncorrected formation energy (eV/atom) = 0.02

=====

(10)
Density functional theory data (GGA-PBE) for Mg12Ag3N5 after structural relaxation.

The structure in CIF format:
```
data_Mg12Ag3N5
_chemical_formula_sum 'Mg96 Ag24 N40'
_cell_length_a 13.9761
_cell_length_b 13.9761
_cell_length_c 13.9761
_cell_angle_alpha 90.00
_cell_angle_beta 90.00
_cell_angle_gamma 90.00
_symmetry_space_group_name_H-M 'I a -3 d'
_symmetry_Int_Tables_number 230
_symmetry_space_group_name_Hall '-I 4bd 2c 3'
loop_
_atom_site_label
_atom_site_type_symbol
_atom_site_fract_x
_atom_site_fract_y
_atom_site_fract_z
_atom_site_occupancy
Mg1 Mg 0.0370 0.0491 0.6449 1
Ag1 Ag 0.0000 0.2500 0.1250 1
N1 N 0.0000 0.0000 0.0000 1
N2 N 0.0000 0.2500 0.3750 1
```

Computed properties:
- raw total energy (eV/atom) = -3.76
- uncorrected formation energy (eV/atom) = -0.29

=====

(11)
Density functional theory data (GGA-PBE) for MgAgN after structural relaxation.

The structure in CIF format:
```
data_MgAgN
_chemical_formula_sum 'Mg4 Ag4 N4'
_cell_length_a 7.0603
_cell_length_b 3.4114
_cell_length_c 6.9411
_cell_angle_alpha 90.00
_cell_angle_beta 90.00
_cell_angle_gamma 90.00
_symmetry_space_group_name_H-M 'P n m a'
_symmetry_Int_Tables_number 62
_symmetry_space_group_name_Hall '-P 2ac 2n'
loop_
_atom_site_label
_atom_site_type_symbol
_atom_site_fract_x
_atom_site_fract_y
_atom_site_fract_z
_atom_site_occupancy
Mg1 Mg 0.0168 0.2500 0.1606 1
Ag1 Ag 0.1614 0.2500 0.5429 1
N1 N 0.1533 0.2500 0.8769 1
```

Computed properties:
- raw total energy (eV/atom) = -4.05
- uncorrected formation energy (eV/atom) = 0.21

=====

The lowest uncorrected formation energy belongs to which entry?
Mg12Ag3N5